No. 1
Ac2CdCu | PBE | optimized geometry

abc: 3.915 3.915 8.007
angles: 90.00 90.00 90.00
Space group P4/mmm (No. 123)
Unique sites:
Ac 0.000 0.000 0.229 [2 per cell]
Cd 0.500 0.500 0.500 [1 per cell]
Cu 0.500 0.500 0.000 [1 per cell]

Calculated values
The calculation puts the excess energy over the best structure of this formula in the dataset at 0 meV per atom.


No. 2
AcCdCu4 | PBE | optimized geometry

abc: 7.537 7.537 7.537
angles: 90.00 90.00 90.00
Space group F-43m (No. 216)
Unique sites:
Ac 0.000 0.000 0.000 [4 per cell]
Cd 0.250 0.250 0.750 [4 per cell]
Cu 0.122 0.122 0.378 [16 per cell]


No. 3
AcCd3Cu | PBE | optimized geometry

abc: 4.953 5.084 10.533
angles: 90.00 90.00 90.00
Space group Amm2 (No. 38)
Unique sites:
Ac 0.000 0.000 0.000 [2 per cell]
Cd 0.000 0.000 0.695 [2 per cell]
Cd 0.500 0.000 0.229 [2 per cell]
Cd 0.500 0.000 0.518 [2 per cell]
Cu 0.000 0.000 0.323 [2 per cell]

Calculated values
The calculation puts the excess energy over the best structure of this formula in the dataset at 100 meV per atom.


No. 4
AcCd2Cu | PBE | optimized geometry

abc: 3.504 3.504 7.946
angles: 90.00 90.00 90.00
Space group P4/mmm (No. 123)
Unique sites:
Ac 0.000 0.000 0.000 [1 per cell]
Cd 0.500 0.500 0.315 [2 per cell]
Cu 0.000 0.000 0.500 [1 per cell]

Calculated values
The calculation puts the excess energy over the best structure of this formula in the dataset at 239 meV per atom.


No. 5
AcCd2Cu | PBE | optimized geometry

abc: 4.547 10.662 8.136
angles: 90.00 90.00 90.00
Space group Cmcm (No. 63)
Unique sites:
Ac 0.000 0.062 0.250 [4 per cell]
Cd 0.000 0.351 0.056 [8 per cell]
Cu 0.000 0.228 0.750 [4 per cell]

Calculated values
The calculation puts the excess energy over the best structure of this formula in the dataset at 0 meV per atom.


No. 6
Ac2CdCu2 | PBE | optimized geometry

abc: 8.060 8.060 4.147
angles: 90.00 90.00 90.00
Space group P4/mbm (No. 127)
Unique sites:
Ac 0.180 0.320 0.000 [4 per cell]
Cd 0.000 0.000 0.500 [2 per cell]
Cu 0.113 0.613 0.500 [4 per cell]

Calculated values
The calculation puts the excess energy over the best structure of this formula in the dataset at 14 meV per atom.


No. 7
AcCd2Cu2 | PBE | optimized geometry

abc: 10.549 4.295 5.218
angles: 90.00 105.50 90.00
Space group C2/m (No. 12)
Unique sites:
Ac 0.000 0.000 0.000 [2 per cell]
Cd 0.149 0.500 0.571 [4 per cell]
Cu 0.229 0.500 0.119 [4 per cell]


No. 8
AcCdCu | PBE | optimized geometry

abc: 4.7927 4.7927 4.0220
angles: 90.00 90.00 120.00
Space group P-6m2 (No. 187)
Unique sites:
Ac 0.0000 0.0000 0.0000 [1 per cell]
Cd 0.6667 0.3333 0.5000 [1 per cell]
Cu 0.3333 0.6667 0.5000 [1 per cell]

Calculated values
The calculation puts the excess energy over the best structure of this formula in the dataset at 32 meV per atom.


No. 9
AcCdCu | PBE | optimized geometry

abc: 4.735 5.419 6.600
angles: 90.00 110.82 90.00
Space group P2_1/m (No. 11)
Unique sites:
Ac 0.114 0.250 0.221 [2 per cell]
Cd 0.393 0.250 0.783 [2 per cell]
Cu 0.217 0.750 0.444 [2 per cell]

Calculated values
The calculation puts the excess energy over the best structure of this formula in the dataset at 82 meV per atom.


No. 10
AcCd6Cu6 | PBE | optimized geometry

abc: 5.253 9.570 9.580
angles: 90.00 90.00 90.00
Space group Immm (No. 71)
Unique sites:
Ac 0.000 0.000 0.000 [2 per cell]
Cd 0.000 0.000 0.352 [4 per cell]
Cd 0.000 0.343 0.000 [4 per cell]
Cd 0.000 0.500 0.295 [4 per cell]
Cu 0.000 0.273 0.500 [4 per cell]
Cu 0.250 0.250 0.250 [8 per cell]


No. 11
Ac2CdCu | PBE | optimized geometry

abc: 7.921 7.921 7.921
angles: 90.00 90.00 90.00
Space group Fm-3m (No. 225)
Unique sites:
Ac 0.250 0.250 0.250 [8 per cell]
Cd 0.000 0.000 0.000 [4 per cell]
Cu 0.000 0.000 0.500 [4 per cell]

Calculated values
The calculation puts the excess energy over the best structure of this formula in the dataset at 31 meV per atom.


No. 12
Ac5CdCu4 | PBE | optimized geometry

abc: 3.827 3.827 19.628
angles: 90.00 90.00 90.00
Space group P4/mmm (No. 123)
Unique sites:
Ac 0.000 0.000 0.000 [1 per cell]
Ac 0.000 0.000 0.194 [2 per cell]
Ac 0.000 0.000 0.386 [2 per cell]
Cd 0.500 0.500 0.500 [1 per cell]
Cu 0.500 0.500 0.096 [2 per cell]
Cu 0.500 0.500 0.291 [2 per cell]


Number 1: energy of formation -0.186 eV per atom. Number 2: energy of formation -0.109 eV per atom. Number 3: energy of formation -0.087 eV per atom. Number 4: energy of formation -0.017 eV per atom. Number 5: energy of formation -0.256 eV per atom. Number 6: energy of formation -0.223 eV per atom. Number 7: energy of formation -0.205 eV per atom. Number 8: energy of formation -0.205 eV per atom. Number 9: energy of formation -0.155 eV per atom. Number 10: energy of formation -0.044 eV per atom. Number 11: energy of formation -0.154 eV per atom. Number 12: energy of formation -0.126 eV per atom.